An optimized crystal structure of TeAsSe2. Source: Alexandria via LeMat-Bulk, functional GGA-PBEsol.

Cell and atoms, written as extended XYZ:
```
4
Lattice="1.8968 -3.5026 0.0000 1.8968 3.5026 0.0000 0.0000 0.0000 7.6581" Properties=species:S:1:pos:R:3 pbc="T T T"
Te 0.0000 0.0000 0.0000
As 0.0000 0.0000 3.8290
Se 1.8968 0.0000 2.0711
Se 1.8968 0.0000 5.5870
```

Summary:
distance to the lowest polymorph of the same formula	0	meV/atom
total energy	-3.836	eV/atom
ΔE_f (raw)	23.8	kJ per mole of atoms
theoretical density	5.9	g/cm3
space group	No. 65